(1)
Compound: BaLiCaPb
Source: Alexandria via LeMat-Bulk
Functional: GGA-PBE
Structure: relaxed

For the total energy, the calculation gives -2.74 eV/atom. As for the size of the total moment: 0.00 μB/cell. For the theoretical density, the calculation gives 4.74 Mg/m³. Its volume is 34.3 Å³/atom.

It has space group F-43m (No. 216), with a = 8.189 Å, b = 8.189 Å, c = 8.189 Å, α = 90.00°, β = 90.00° and γ = 90.00°. Symmetry generates all atoms from Ba at (0.000, 0.000, 0.000), Li at (0.250, 0.250, 0.750), Ca at (0.000, 0.000, 0.500) and Pb at (0.250, 0.250, 0.250).



(2)
Compound: BaLiCaPd
Source: Alexandria via LeMat-Bulk
Functional: GGA-PBE
Structure: relaxed

For the total energy, the calculation gives -2.97 eV/atom. As for the size of the total moment: 0.00 μB/cell. For the theoretical density, the calculation gives 4.16 Mg/m³. Its volume is 29.0 Å³/atom.

It has space group F-43m (No. 216), with a = 7.742 Å, b = 7.742 Å, c = 7.742 Å, α = 90.00°, β = 90.00° and γ = 90.00°. Symmetry generates all atoms from Ba at (0.000, 0.000, 0.000), Li at (0.250, 0.250, 0.250), Ca at (0.000, 0.000, 0.500) and Pd at (0.250, 0.250, 0.750).



(3)
Compound: BaLi2CaPd2
Source: Alexandria via LeMat-Bulk
Functional: GGA-PBE
Structure: relaxed

For the total energy, the calculation gives -3.43 eV/atom. As for the size of the total moment: 0.00 μB/cell. For the theoretical density, the calculation gives 4.61 Mg/m³. Its volume is 24.2 Å³/atom.

It has space group P-3m1 (No. 164), with a = 4.6007 Å, b = 4.6007 Å, c = 7.9340 Å, α = 90.00°, β = 90.00° and γ = 120.00°. Symmetry generates all atoms from Ba at (0.0000, 0.0000, 0.0000), Li at (0.3333, 0.6667, 0.6778), Ca at (0.0000, 0.0000, 0.5000) and Pd at (0.3333, 0.6667, 0.2972).



(4)
Compound: BaLiCaPt
Source: Alexandria via LeMat-Bulk
Functional: GGA-PBE
Structure: relaxed

For the total energy, the calculation gives -3.33 eV/atom. As for the size of the total moment: 0.00 μB/cell. For the theoretical density, the calculation gives 5.76 Mg/m³. Its volume is 27.4 Å³/atom.

It has space group F-43m (No. 216), with a = 7.593 Å, b = 7.593 Å, c = 7.593 Å, α = 90.00°, β = 90.00° and γ = 90.00°. Symmetry generates all atoms from Ba at (0.000, 0.000, 0.000), Li at (0.250, 0.250, 0.750), Ca at (0.000, 0.000, 0.500) and Pt at (0.250, 0.250, 0.250).



(5)
Compound: BaLi2CaPt2
Source: Alexandria via LeMat-Bulk
Functional: GGA-PBE
Structure: relaxed

For the total energy, the calculation gives -3.90 eV/atom. As for the size of the total moment: 0.00 μB/cell. For the theoretical density, the calculation gives 7.00 Mg/m³. Its volume is 23.0 Å³/atom.

It has space group P-3m1 (No. 164), with a = 4.5271 Å, b = 4.5271 Å, c = 7.7713 Å, α = 90.00°, β = 90.00° and γ = 120.00°. Symmetry generates all atoms from Ba at (0.0000, 0.0000, 0.0000), Li at (0.3333, 0.6667, 0.6793), Ca at (0.0000, 0.0000, 0.5000) and Pt at (0.3333, 0.6667, 0.2906).



(6)
Compound: RbBa2LiCa
Source: Alexandria via LeMat-Bulk
Functional: GGA-PBE
Structure: relaxed

For the total energy, the calculation gives -1.56 eV/atom. As for the size of the total moment: 0.00 μB/cell. For the theoretical density, the calculation gives 2.28 Mg/m³. Its volume is 59.4 Å³/atom.

It has space group P4/mmm (No. 123), with a = 6.794 Å, b = 6.794 Å, c = 6.436 Å, α = 90.00°, β = 90.00° and γ = 90.00°. Symmetry generates all atoms from Rb at (0.000, 0.000, 0.000), Ba at (0.000, 0.500, 0.500), Li at (0.500, 0.500, 0.500) and Ca at (0.500, 0.500, 0.000).



E_form (computed, eV/atom): -0.352; -0.212; -0.412; -0.355; -0.598; 0.188